Compound: MgMnAs2Se
Source: Alexandria via LeMat-Bulk
Functional: PBE
Structure: relaxed

Lattice parameters (Å, degrees): 4.422 5.603 4.422 90.00 90.00 90.00
Sites, in units of the cell vectors:
1 As 0.500 0.000 0.000
2 As 0.000 0.000 0.500
3 Mg 0.500 0.500 0.500
4 Se 0.000 0.500 0.000
5 Mn 0.000 0.000 0.000

Computed properties:
E_tot = -23.0 eV per cell
Energy relative to the elements, uncorrected = 11 kJ/mol of atoms
Total moment = 0.198 μB per atom
ΔE to the lowest computed polymorph = 0 meV per atom